# CdSb2Br PBEsol optimized geometry
# **Formation energy (no corrections)**: -8.6 kJ per mole of atoms
# **Excess energy over the best structure of this formula in the dataset**: 98 meV/atom
# **DOS(E_F)**: 0.40 states/eV/atom
# **Energy**: -3.13 eV/atom
data_CdSb2Br
_symmetry_space_group_name_H-M 'P 1 2/m 1'
_symmetry_Int_Tables_number 10
_cell_length_a 4.580
_cell_length_b 4.673
_cell_length_c 5.629
_cell_angle_alpha 90.00
_cell_angle_beta 109.64
_cell_angle_gamma 90.00
loop_
_symmetry_equiv_pos_as_xyz
'x,y,z'
'-x,-y,-z'
'-x,y,-z'
'x,-y,z'
loop_
_atom_site_label
_atom_site_type_symbol
_atom_site_fract_x
_atom_site_fract_y
_atom_site_fract_z
Cd1 Cd 0.000 0.000 0.000
Sb1 Sb 0.195 0.500 0.808
Br1 Br 0.500 0.000 0.500